NaSbS2Cl | meta-GGA SCAN | PBEsol geometry

Summary:
Electronic total energy   -13.45 eV per atom
D(E_F)   0.49 states/eV/atom
Space-group type   No. 123
Theoretical density   3.653 g/cm3

a b c (Å): 4.6628 4.8804 4.8804
angles (deg): 90.00 90.00 90.00
Site moments in Bohr magnetons follow the coordinates.
Positions (direct):
Sb: 0.5000 0.5000 0.5000  -0.08
S: 0.0000 0.0000 0.5000  0.36
S: 0.0000 0.5000 0.0000  0.36
Na: 0.0000 0.0000 0.0000  0.01
Cl: 0.5000 0.0000 0.0000  0.02



Y3HfHg | meta-GGA SCAN | PBEsol geometry

Summary:
D(E_F)   1.86 states/eV/atom
Space-group type   No. 221
Theoretical density   6.507 g/cm3
ΔH_f (0 K)   11.25 kcal/mol of atoms

a b c (Å): 5.4826 5.4826 5.4826
angles (deg): 90.00 90.00 90.00
Site moments in Bohr magnetons follow the coordinates.
Positions (direct):
Y: 0.0000 0.5000 0.0000  0.04
Y: 0.0000 0.0000 0.5000  0.04
Y: 0.5000 0.0000 0.0000  0.04
Hf: 0.5000 0.5000 0.5000  0.76
Hg: 0.0000 0.0000 0.0000  -0.05



HfTlN2 | meta-GGA SCAN | PBEsol geometry

Summary:
Electronic total energy   -37.70 eV per atom
D(E_F)   0.46 states/eV/atom
Space-group type   No. 166
Theoretical density   10.356 g/cm3

a b c (Å): 3.4328 3.4328 6.7531
angles (deg): 75.28 75.28 60.00
Site moments in Bohr magnetons follow the coordinates.
Positions (direct):
Tl: 0.5000 0.5000 0.5000  -0.01
Hf: 0.0000 0.0000 0.0000  0.00
N: 0.8962 0.8962 0.3115  0.29
N: 0.1038 0.1038 0.6885  0.29



AsC2 | meta-GGA SCAN | PBEsol geometry

Summary:
ΔE to the lowest computed polymorph   237 meV/atom
D(E_F)   0.31 states/eV/atom
Space-group type   No. 194
Theoretical density   5.475 g/cm3
ΔH_f (0 K)   27.60 kcal/mol of atoms

a b c (Å): 3.0805 3.0805 7.3026
angles (deg): 90.00 90.00 120.00
Positions (direct):
As: 0.0000 0.0000 0.0000
As: 0.0000 0.0000 0.5000
C: 0.6667 0.3333 0.1550
C: 0.3333 0.6667 0.6550
C: 0.6667 0.3333 0.3450
C: 0.3333 0.6667 0.8450



Re5Ni2As12 | meta-GGA SCAN | PBEsol geometry

Summary:
D(E_F)   0.24 states/eV/atom
Space-group type   No. 58
Theoretical density   10.389 g/cm3
ΔH_f (0 K)   -4.13 kcal/mol of atoms

a b c (Å): 3.1981 12.5088 15.5618
angles (deg): 90.00 90.00 90.00
Positions (direct):
Re: 0.0000 0.1836 0.6010
Re: 0.0000 0.8164 0.3990
Re: 0.5000 0.6836 0.8990
Re: 0.5000 0.3164 0.1010
Re: 0.0000 0.5791 0.7622
Re: 0.0000 0.4209 0.2378
Re: 0.5000 0.0791 0.7378
Re: 0.5000 0.9209 0.2622
Re: 0.0000 0.0000 0.0000
Re: 0.5000 0.5000 0.5000
Ni: 0.0000 0.3717 0.8468
Ni: 0.0000 0.6283 0.1532
Ni: 0.5000 0.8717 0.6532
Ni: 0.5000 0.1283 0.3468
As: 0.0000 0.5932 0.5988
As: 0.0000 0.4068 0.4012
As: 0.5000 0.0932 0.9012
As: 0.5000 0.9068 0.0988
As: 0.0000 0.9301 0.7625
As: 0.0000 0.0699 0.2375
As: 0.5000 0.4301 0.7375
As: 0.5000 0.5699 0.2625
As: 0.0000 0.7733 0.2434
As: 0.0000 0.2267 0.7566
As: 0.5000 0.2733 0.2566
As: 0.5000 0.7267 0.7434
As: 0.0000 0.8412 0.9091
As: 0.0000 0.1588 0.0909
As: 0.5000 0.3412 0.5909
As: 0.5000 0.6588 0.4091
As: 0.0000 0.5334 0.9226
As: 0.0000 0.4666 0.0774
As: 0.5000 0.0334 0.5774
As: 0.5000 0.9666 0.4226
As: 0.0000 0.7931 0.5595
As: 0.0000 0.2069 0.4405
As: 0.5000 0.2931 0.9405
As: 0.5000 0.7069 0.0595



LaNi2Hg | meta-GGA SCAN | PBEsol geometry

Summary:
D(E_F)   0.54 states/eV/atom
Space-group type   No. 44
Theoretical density   10.389 g/cm3
ΔH_f (0 K)   -0.49 kcal/mol of atoms

a b c (Å): 3.6325 4.1171 5.6009
angles (deg): 111.53 108.92 90.00
Positions (direct):
Hg: 0.4957 0.4956 0.9915
La: 0.2572 0.7574 0.5144
Ni: 0.0328 0.0323 0.0655
Ni: 0.7143 0.2147 0.4286



Hf3MnAg | meta-GGA SCAN | PBEsol geometry

Summary:
D(E_F)   0.94 states/eV/atom
Space-group type   No. 221
Theoretical density   9.290 g/cm3
ΔH_f (0 K)   24.58 kcal/mol of atoms

a b c (Å): 4.9975 4.9975 4.9975
angles (deg): 90.00 90.00 90.00
Site moments in Bohr magnetons follow the coordinates.
Positions (direct):
Mn: 0.5000 0.5000 0.5000  4.51
Hf: 0.0000 0.5000 0.0000  -0.05
Hf: 0.0000 0.0000 0.5000  -0.05
Hf: 0.5000 0.0000 0.0000  -0.05
Ag: 0.0000 0.0000 0.0000  0.03



BaTaO3 | meta-GGA SCAN | PBEsol geometry

Summary:
Electronic total energy   -24.37 eV per atom
D(E_F)   0.51 states/eV/atom
Space-group type   No. 221
Theoretical density   6.362 g/cm3

a b c (Å): 4.5725 4.5725 4.5725
angles (deg): 90.00 90.00 90.00
Site moments in Bohr magnetons follow the coordinates.
Positions (direct):
Ba: 0.0000 0.0000 0.0000  0.00
O: 0.0000 0.5000 0.0000  -0.06
O: 0.0000 0.0000 0.5000  -0.06
O: 0.5000 0.0000 0.0000  -0.06
Ta: 0.5000 0.5000 0.5000  1.95



K2H12RuS2O14 | meta-GGA SCAN | PBEsol geometry

Summary:
Electronic total energy   -7.77 eV per atom
D(E_F)   0.00 states/eV/atom
Space-group type   No. 14
Theoretical density   2.514 g/cm3

a b c (Å): 6.1259 8.7917 12.1490
angles (deg): 90.00 90.00 104.55
Site moments in Bohr magnetons follow the coordinates.
Positions (direct):
K: 0.6538 0.3580 0.8438  0.00
K: 0.3462 0.1420 0.3438  0.00
K: 0.3462 0.6420 0.1562  0.00
K: 0.6538 0.8580 0.6562  0.00
H: 0.6492 0.5977 0.4427  0.00
H: 0.3508 0.9023 0.9427  0.00
H: 0.0027 0.6395 0.6935  0.00
H: 0.9973 0.8605 0.1935  0.00
H: 0.9973 0.3605 0.3065  0.00
H: 0.0027 0.1395 0.8065  0.00
H: 0.0911 0.7547 0.3763  0.00
H: 0.9089 0.7453 0.8763  0.00
H: 0.9089 0.2453 0.6237  0.00
H: 0.0911 0.2547 0.1237  0.00
H: 0.3264 0.7174 0.4128  0.00
H: 0.6736 0.7826 0.9128  0.00
H: 0.6736 0.2826 0.5872  0.00
H: 0.3264 0.2174 0.0872  0.00
H: 0.3508 0.4023 0.5573  0.00
H: 0.6492 0.0977 0.0573  0.00
H: 0.6684 0.4710 0.3520  0.00
H: 0.3316 0.0290 0.8520  0.00
H: 0.9239 0.7266 0.1013  0.00
H: 0.0761 0.7734 0.6013  0.00
H: 0.6684 0.9710 0.1480  0.00
H: 0.3316 0.5290 0.6480  0.00
H: 0.9239 0.2266 0.3987  0.00
H: 0.0761 0.2734 0.8987  0.00
Ru: 0.0000 0.5000 0.5000  0.09
Ru: 0.0000 0.0000 0.0000  0.09
S: 0.2740 0.0874 0.6328  0.00
S: 0.7260 0.9126 0.3672  0.00
S: 0.2740 0.5874 0.8672  0.00
S: 0.7260 0.4126 0.1328  0.00
O: 0.3887 0.7204 0.9397  0.00
O: 0.3887 0.2204 0.5603  0.00
O: 0.5785 0.9152 0.2701  0.00
O: 0.4215 0.5848 0.7701  0.00
O: 0.4215 0.0848 0.7299  0.00
O: 0.5785 0.4152 0.2299  0.00
O: 0.7572 0.0608 0.4301  0.00
O: 0.6113 0.7796 0.4397  0.00
O: 0.2428 0.9392 0.5699  0.00
O: 0.7572 0.5608 0.0699  0.00
O: 0.9487 0.3910 0.1706  0.00
O: 0.0513 0.1090 0.6706  0.00
O: 0.0513 0.6090 0.8294  0.00
O: 0.9487 0.8910 0.3294  0.00
O: 0.6862 0.4941 0.4328  0.00
O: 0.3138 0.0059 0.9328  0.00
O: 0.3138 0.5059 0.5672  0.00
O: 0.6862 0.9941 0.0672  0.00
O: 0.9642 0.6701 0.6179  0.00
O: 0.0358 0.8299 0.1179  0.00
O: 0.0358 0.3299 0.3821  0.00
O: 0.9642 0.1701 0.8821  0.00
O: 0.2428 0.4392 0.9301  0.00
O: 0.8300 0.8311 0.8853  0.00
O: 0.8300 0.3311 0.6147  0.00
O: 0.1700 0.1689 0.1147  0.00
O: 0.6113 0.2796 0.0603  0.00
O: 0.1700 0.6689 0.3853  0.00



MnB3I | meta-GGA SCAN | PBEsol geometry

Summary:
Electronic total energy   -12.80 eV per atom
D(E_F)   0.45 states/eV/atom
Space-group type   No. 221
Theoretical density   4.308 g/cm3

a b c (Å): 4.3550 4.3550 4.3550
angles (deg): 90.00 90.00 90.00
Site moments in Bohr magnetons follow the coordinates.
Positions (direct):
I: 0.0000 0.0000 0.0000  0.01
B: 0.0000 0.5000 0.0000  -0.05
B: 0.0000 0.0000 0.5000  -0.05
B: 0.5000 0.0000 0.0000  -0.05
Mn: 0.5000 0.5000 0.5000  4.49



CrInO3 | meta-GGA SCAN | PBEsol geometry

Summary:
Electronic total energy   -16.24 eV per atom
Space-group type   No. 62
Theoretical density   6.839 g/cm3

a b c (Å): 5.1598 5.3582 7.5467
angles (deg): 90.00 90.00 90.00
Site moments in Bohr magnetons follow the coordinates.
Positions (direct):
Cr: 0.0000 0.0000 0.0000  2.82
Cr: 0.0000 0.0000 0.5000  2.82
Cr: 0.5000 0.5000 0.0000  2.82
Cr: 0.5000 0.5000 0.5000  2.82
In: 0.5212 0.9386 0.7500  0.03
In: 0.9788 0.4386 0.7500  0.03
In: 0.0212 0.5614 0.2500  0.03
In: 0.4788 0.0614 0.2500  0.03
O: 0.6232 0.4448 0.2500  0.01
O: 0.8768 0.9448 0.2500  0.01
O: 0.1232 0.0552 0.7500  0.01
O: 0.3768 0.5552 0.7500  0.01
O: 0.6942 0.1978 0.5664  0.02
O: 0.6942 0.1978 0.9336  0.02
O: 0.8058 0.6978 0.5664  0.02
O: 0.8058 0.6978 0.9336  0.02
O: 0.1942 0.3022 0.0664  0.02
O: 0.1942 0.3022 0.4336  0.02
O: 0.3058 0.8022 0.0664  0.02
O: 0.3058 0.8022 0.4336  0.02



BaCa2H | meta-GGA SCAN | PBEsol geometry

Summary:
Electronic total energy   -15.79 eV per atom
D(E_F)   0.40 states/eV/atom
Space-group type   No. 227
Theoretical density   2.544 g/cm3

a b c (Å): 7.3888 7.3888 7.3888
angles (deg): 60.00 60.00 60.00
Positions (direct):
H: 0.2500 0.2500 0.2500
H: 0.0000 0.0000 0.0000
Ca: 0.1250 0.1250 0.6250
Ca: 0.1250 0.1250 0.1250
Ca: 0.6250 0.1250 0.1250
Ca: 0.1250 0.6250 0.1250
Ba: 0.7500 0.7500 0.7500
Ba: 0.5000 0.5000 0.5000



CdMoPb2 | meta-GGA SCAN | PBEsol geometry

Summary:
D(E_F)   0.54 states/eV/atom
Space-group type   No. 119
Theoretical density   11.837 g/cm3
ΔH_f (0 K)   14.62 kcal/mol of atoms

a b c (Å): 4.2475 4.2475 5.6983
angles (deg): 111.88 111.88 90.00
Site moments in Bohr magnetons follow the coordinates.
Positions (direct):
Cd: 0.5000 0.5000 0.0000  -0.03
Mo: 0.2500 0.7500 0.5000  2.15
Pb: 0.0000 0.0000 0.0000  -0.03
Pb: 0.7500 0.2500 0.5000  0.00



Li2HgBi2 | meta-GGA SCAN | PBEsol geometry

Summary:
ΔE to the lowest computed polymorph   0 meV/atom
D(E_F)   0.37 states/eV/atom
Space-group type   No. 127
Theoretical density   8.773 g/cm3
ΔH_f (0 K)   -5.80 kcal/mol of atoms

a b c (Å): 3.2049 8.6431 8.6431
angles (deg): 90.00 90.00 90.00
Positions (direct):
Li: 0.5000 0.1192 0.6192
Li: 0.5000 0.6192 0.8808
Li: 0.5000 0.8808 0.3808
Li: 0.5000 0.3808 0.1192
Bi: 0.0000 0.3210 0.8210
Bi: 0.0000 0.8210 0.6790
Bi: 0.0000 0.6790 0.1790
Bi: 0.0000 0.1790 0.3210
Hg: 0.0000 0.0000 0.0000
Hg: 0.0000 0.5000 0.5000



Y4PPt | meta-GGA SCAN | PBEsol geometry

Summary:
D(E_F)   1.15 states/eV/atom
Space-group type   No. 216
Theoretical density   6.883 g/cm3
ΔH_f (0 K)   9.28 kcal/mol of atoms

a b c (Å): 5.8331 5.8331 5.8331
angles (deg): 60.00 60.00 60.00
Positions (direct):
P: 0.7500 0.7500 0.7500
Pt: 0.0000 0.0000 0.0000
Y: 0.3750 0.3750 0.3750
Y: 0.3750 0.3750 0.8749
Y: 0.8749 0.3750 0.3750
Y: 0.3750 0.8749 0.3750



ErNi2 | meta-GGA SCAN | PBEsol geometry

Summary:
D(E_F)   0.44 states/eV/atom
Space-group type   No. 227
Theoretical density   11.040 g/cm3
ΔH_f (0 K)   -11.71 kcal/mol of atoms

a b c (Å): 4.9474 4.9474 4.9474
angles (deg): 60.00 60.00 60.00
Positions (direct):
Er: 0.7500 0.7500 0.7500
Er: 0.5000 0.5000 0.5000
Ni: 0.1250 0.6250 0.1250
Ni: 0.1250 0.1250 0.6250
Ni: 0.1250 0.1250 0.1250
Ni: 0.6250 0.1250 0.1250



RbSi2Ru | meta-GGA SCAN | PBEsol geometry

Summary:
Electronic total energy   -17.84 eV per atom
D(E_F)   0.71 states/eV/atom
Space-group type   No. 225
Theoretical density   5.792 g/cm3

a b c (Å): 4.6168 4.6168 4.6168
angles (deg): 60.00 60.00 60.00
Positions (direct):
Ru: 0.5000 0.5000 0.5000
Si: 0.2500 0.2500 0.2500
Si: 0.7500 0.7500 0.7500
Rb: 0.0000 0.0000 0.0000



ZrCoP2 | meta-GGA SCAN | PBEsol geometry

Summary:
ΔE to the lowest computed polymorph   245 meV/atom
D(E_F)   0.50 states/eV/atom
Space-group type   No. 123
Theoretical density   6.522 g/cm3
ΔH_f (0 K)   -6.51 kcal/mol of atoms

a b c (Å): 3.0047 3.0047 5.9818
angles (deg): 90.00 90.00 90.00
Site moments in Bohr magnetons follow the coordinates.
Positions (direct):
Co: 0.5000 0.5000 0.5000  0.96
P: 0.0000 0.0000 0.6973  -0.02
P: 0.0000 0.0000 0.3027  -0.02
Zr: 0.5000 0.5000 0.0000  0.01



ThNi2Sn2 | meta-GGA SCAN | PBEsol geometry

Summary:
D(E_F)   0.42 states/eV/atom
Space-group type   No. 129
Theoretical density   10.144 g/cm3
ΔH_f (0 K)   -12.13 kcal/mol of atoms

a b c (Å): 4.3893 4.3893 9.9726
angles (deg): 90.00 90.00 90.00
Positions (direct):
Th: 0.0000 0.5000 0.2343
Th: 0.5000 0.0000 0.7657
Ni: 0.0000 0.0000 0.0000
Ni: 0.5000 0.5000 0.0000
Ni: 0.5000 0.0000 0.3729
Ni: 0.0000 0.5000 0.6271
Sn: 0.5000 0.0000 0.1258
Sn: 0.0000 0.0000 0.5000
Sn: 0.5000 0.5000 0.5000
Sn: 0.0000 0.5000 0.8742



TaReAu2 | meta-GGA SCAN | PBEsol geometry

Summary:
ΔE to the lowest computed polymorph   187 meV/atom
D(E_F)   0.72 states/eV/atom
Space-group type   No. 166
Theoretical density   19.513 g/cm3
ΔH_f (0 K)   6.13 kcal/mol of atoms

a b c (Å): 2.8111 2.8111 9.6021
angles (deg): 81.58 81.58 60.00
Positions (direct):
Au: 0.2486 0.2486 0.2541
Au: 0.7514 0.7514 0.7459
Re: 0.5000 0.5000 0.5000
Ta: 0.0000 0.0000 0.0000